The following is a DFT calculation (PBE) of ErInH after structural relaxation.

- Calculated total energy: -3.74 eV/atom

a = 3.1607 Å, b = 3.1607 Å, c = 11.5582 Å
α = 90.00°, β = 90.00°, γ = 90.00°
Positions (direct):
1 Er 0.0000 0.0000 0.0000
2 Er 0.5000 0.5000 0.5000
3 In 0.0000 0.0000 0.2765
4 In 0.5000 0.5000 0.7765
5 H 0.0000 0.0000 0.5363
6 H 0.5000 0.5000 0.0363


The following is a DFT calculation (PBE) of Tm3Tl4InSe8 after structural relaxation.

- Formation energy from raw total energies: -18.256 eV per formula unit
- Calculated total energy: -4.48 eV/atom

a = 9.1178 Å, b = 9.1178 Å, c = 9.1178 Å
α = 53.86°, β = 53.86°, γ = 53.86°
Positions (direct):
1 Tm 0.0000 0.5000 0.5000
2 Tm 0.5000 0.0000 0.5000
3 Tm 0.5000 0.5000 0.0000
4 Tl 0.0000 0.0000 0.5000
5 Tl 0.0000 0.5000 0.0000
6 Tl 0.5000 0.0000 0.0000
7 Tl 0.5000 0.5000 0.5000
8 In 0.0000 0.0000 0.0000
9 Se 0.2326 0.2326 0.7359
10 Se 0.2326 0.7359 0.2326
11 Se 0.2641 0.7674 0.7674
12 Se 0.2661 0.2661 0.2661
13 Se 0.7339 0.7339 0.7339
14 Se 0.7359 0.2326 0.2326
15 Se 0.7674 0.2641 0.7674
16 Se 0.7674 0.7674 0.2641


The following is a DFT calculation (PBE) of GeAuO2 after structural relaxation.

- Formation energy from raw total energies: 0.217 eV per formula unit
- Calculated total energy: -4.40 eV/atom

a = 3.1440 Å, b = 3.1440 Å, c = 19.8908 Å
α = 90.00°, β = 90.00°, γ = 120.00°
Positions (direct):
1 Ge 0.0000 0.0000 0.0000
2 Ge 0.3333 0.6667 0.6667
3 Ge 0.6667 0.3333 0.3333
4 Au 0.0000 0.0000 0.5000
5 Au 0.3333 0.6667 0.1667
6 Au 0.6667 0.3333 0.8333
7 O 0.0000 0.0000 0.0896
8 O 0.0000 0.0000 0.9104
9 O 0.3333 0.6667 0.5771
10 O 0.3333 0.6667 0.7562
11 O 0.6667 0.3333 0.2438
12 O 0.6667 0.3333 0.4229


The following is a DFT calculation (PBE) of PrHo2ErP4 after structural relaxation.

- Energy of formation from the pure elements: -1572 meV/atom
- Calculated total energy: -6.59 eV/atom

a = 6.9939 Å, b = 4.0413 Å, c = 6.9946 Å
α = 90.00°, β = 109.47°, γ = 90.00°
Positions (direct):
1 Pr 0.0000 0.0000 0.0000
2 Ho 0.0000 0.5000 0.5000
3 Ho 0.5000 0.0000 0.5000
4 Er 0.5000 0.5000 0.0000
5 P 0.2550 0.0000 0.7464
6 P 0.2592 0.5000 0.2583
7 P 0.7408 0.5000 0.7417
8 P 0.7450 0.0000 0.2536


The following is a DFT calculation (PBE) of InReHgO6 after structural relaxation.

- Formation energy from raw total energies: -10.517 eV per formula unit
- Calculated total energy: -6.19 eV/atom

a = 5.6083 Å, b = 5.6083 Å, c = 5.1918 Å
α = 96.68°, β = 96.68°, γ = 121.39°
Positions (direct):
1 In 0.0000 0.0000 0.0000
2 Re 0.3437 0.6563 0.0000
3 Hg 0.6803 0.3197 0.5000
4 O 0.0133 0.6583 0.7859
5 O 0.1034 0.4144 0.2020
6 O 0.2538 0.3334 0.7721
7 O 0.3417 0.9867 0.2141
8 O 0.5856 0.8966 0.7980
9 O 0.6666 0.7462 0.2279


The following is a DFT calculation (PBE) of LiSiCl after structural relaxation.

- Formation energy from raw total energies: 0.177 eV per formula unit
- Calculated total energy: -3.00 eV/atom

a = 4.7389 Å, b = 4.7389 Å, c = 2.9628 Å
α = 90.00°, β = 90.00°, γ = 120.00°
Positions (direct):
1 Li 0.0000 0.0000 0.0000
2 Si 0.6667 0.3333 0.4992
3 Cl 0.3333 0.6667 0.4966


The following is a DFT calculation (PBE) of Pm2SmTl9 after structural relaxation.

- Energy of formation from the pure elements: -303 meV/atom
- Calculated total energy: -3.26 eV/atom

a = 4.8138 Å, b = 4.8138 Å, c = 14.4430 Å
α = 90.00°, β = 90.00°, γ = 90.00°
Positions (direct):
1 Pm 0.0000 0.0000 0.1668
2 Pm 0.0000 0.0000 0.8332
3 Sm 0.0000 0.0000 0.5000
4 Tl 0.0000 0.5000 0.0000
5 Tl 0.0000 0.5000 0.3338
6 Tl 0.0000 0.5000 0.6662
7 Tl 0.5000 0.0000 0.0000
8 Tl 0.5000 0.0000 0.3338
9 Tl 0.5000 0.0000 0.6662
10 Tl 0.5000 0.5000 0.1668
11 Tl 0.5000 0.5000 0.5000
12 Tl 0.5000 0.5000 0.8332


The following is a DFT calculation (PBE) of Dy3Te2S2 after structural relaxation.

- Formation energy from raw total energies: -12.095 eV per formula unit
- Calculated total energy: -5.78 eV/atom

a = 13.2968 Å, b = 4.0306 Å, c = 7.3801 Å
α = 90.00°, β = 98.22°, γ = 90.00°
Positions (direct):
1 Dy 0.0000 0.0000 0.0000
2 Dy 0.2409 0.0000 0.7630
3 Dy 0.2591 0.5000 0.2370
4 Dy 0.5000 0.5000 0.0000
5 Dy 0.7409 0.5000 0.7630
6 Dy 0.7591 0.0000 0.2370
7 Te 0.1166 0.0000 0.3806
8 Te 0.3834 0.5000 0.6194
9 Te 0.6166 0.5000 0.3806
10 Te 0.8834 0.0000 0.6194
11 S 0.1295 0.5000 0.9033
12 S 0.3705 0.0000 0.0967
13 S 0.6295 0.0000 0.9033
14 S 0.8705 0.5000 0.0967


The following is a DFT calculation (PBE) of NdHo2Ir9 after structural relaxation.

- Energy of formation from the pure elements: -579 meV/atom
- Calculated total energy: -8.39 eV/atom

a = 9.2776 Å, b = 9.2776 Å, c = 9.2776 Å
α = 33.41°, β = 33.41°, γ = 33.41°
Positions (direct):
1 Nd 0.0000 0.0000 0.0000
2 Ho 0.1396 0.1396 0.1396
3 Ho 0.8604 0.8604 0.8604
4 Ir 0.0828 0.5825 0.5825
5 Ir 0.3330 0.3330 0.3330
6 Ir 0.4175 0.4175 0.9172
7 Ir 0.4175 0.9172 0.4175
8 Ir 0.5000 0.5000 0.5000
9 Ir 0.5825 0.0828 0.5825
10 Ir 0.5825 0.5825 0.0828
11 Ir 0.6670 0.6670 0.6670
12 Ir 0.9172 0.4175 0.4175


The following is a DFT calculation (PBE) of CePuNp2S4 after structural relaxation.

- Formation energy from raw total energies: -12.909 eV per formula unit
- Calculated total energy: -9.45 eV/atom

a = 6.8424 Å, b = 3.9444 Å, c = 6.8458 Å
α = 90.00°, β = 109.91°, γ = 90.00°
Positions (direct):
1 Ce 0.0000 0.0000 0.0000
2 Pu 0.5000 0.5000 0.0000
3 Np 0.0000 0.5000 0.5000
4 Np 0.5000 0.0000 0.5000
5 S 0.2503 0.0000 0.7463
6 S 0.2562 0.5000 0.2566
7 S 0.7438 0.5000 0.7434
8 S 0.7497 0.0000 0.2537


The following is a DFT calculation (PBE) of MnBiSe2 after structural relaxation.

- Formation energy from raw total energies: -0.833 eV per formula unit
- Calculated total energy: -5.21 eV/atom

a = 11.4043 Å, b = 10.1610 Å, c = 3.9232 Å
α = 90.00°, β = 92.88°, γ = 90.00°
Positions (direct):
1 Mn 0.0000 0.0000 0.0000
2 Mn 0.2124 0.0000 0.5635
3 Mn 0.5000 0.5000 0.0000
4 Mn 0.7124 0.5000 0.5635
5 Bi 0.2877 0.2718 0.4424
6 Bi 0.2877 0.7282 0.4424
7 Bi 0.7877 0.2282 0.4424
8 Bi 0.7877 0.7718 0.4424
9 Se 0.0505 0.1784 0.4953
10 Se 0.0505 0.8216 0.4953
11 Se 0.2746 0.5000 0.9250
12 Se 0.3426 0.0000 0.0802
13 Se 0.5505 0.3216 0.4953
14 Se 0.5505 0.6784 0.4953
15 Se 0.7746 0.0000 0.9250
16 Se 0.8426 0.5000 0.0802


The following is a DFT calculation (PBE) of LiLuHgPt after structural relaxation.

- Energy of formation from the pure elements: -664 meV/atom
- Calculated total energy: -3.86 eV/atom

a = 6.7498 Å, b = 6.7498 Å, c = 6.7498 Å
α = 90.00°, β = 90.00°, γ = 90.00°
Positions (direct):
1 Li 0.0000 0.0000 0.0000
2 Li 0.0000 0.5000 0.5000
3 Li 0.5000 0.0000 0.5000
4 Li 0.5000 0.5000 0.0000
5 Lu 0.0000 0.0000 0.5000
6 Lu 0.0000 0.5000 0.0000
7 Lu 0.5000 0.0000 0.0000
8 Lu 0.5000 0.5000 0.5000
9 Hg 0.2500 0.2500 0.7500
10 Hg 0.2500 0.7500 0.2500
11 Hg 0.7500 0.2500 0.2500
12 Hg 0.7500 0.7500 0.7500
13 Pt 0.2500 0.2500 0.2500
14 Pt 0.2500 0.7500 0.7500
15 Pt 0.7500 0.2500 0.7500
16 Pt 0.7500 0.7500 0.2500


The following is a DFT calculation (PBE) of ThGa3Co3 after structural relaxation.

- Energy of formation from the pure elements: -179 meV/atom
- Calculated total energy: -5.58 eV/atom

a = 7.2555 Å, b = 7.2555 Å, c = 7.2555 Å
α = 51.87°, β = 51.87°, γ = 51.87°
Positions (direct):
1 Th 0.1576 0.1576 0.1576
2 Th 0.8424 0.8424 0.8424
3 Ga 0.0499 0.5883 0.2496
4 Ga 0.2496 0.0499 0.5883
5 Ga 0.4117 0.7504 0.9501
6 Ga 0.5883 0.2496 0.0499
7 Ga 0.7504 0.9501 0.4117
8 Ga 0.9501 0.4117 0.7504
9 Co 0.2082 0.6709 0.4214
10 Co 0.3291 0.5786 0.7918
11 Co 0.4214 0.2082 0.6709
12 Co 0.5786 0.7918 0.3291
13 Co 0.6709 0.4214 0.2082
14 Co 0.7918 0.3291 0.5786


The following is a DFT calculation (PBE) of SrY2Zn after structural relaxation.

- Energy of formation from the pure elements: 197 meV/atom
- Calculated total energy: -3.77 eV/atom

a = 6.6912 Å, b = 12.0576 Å, c = 3.5497 Å
α = 90.00°, β = 118.45°, γ = 90.00°
Positions (direct):
1 Sr 0.0000 0.0000 0.0000
2 Sr 0.5000 0.5000 0.0000
3 Y 0.2500 0.2500 0.5000
4 Y 0.2500 0.7500 0.5000
5 Y 0.7500 0.2500 0.5000
6 Y 0.7500 0.7500 0.5000
7 Zn 0.0000 0.5000 0.0000
8 Zn 0.5000 0.0000 0.0000


The following is a DFT calculation (PBE) of NaLiMg2Cl6 after structural relaxation.

- Formation energy from raw total energies: -18.011 eV per formula unit
- Calculated total energy: -3.55 eV/atom

a = 6.9675 Å, b = 6.9675 Å, c = 6.9675 Å
α = 56.14°, β = 56.14°, γ = 56.14°
Positions (direct):
1 Na 0.0000 0.0000 0.0000
2 Li 0.4893 0.4893 0.4893
3 Mg 0.2938 0.2938 0.2938
4 Mg 0.7987 0.7987 0.7987
5 Cl 0.0705 0.6660 0.4324
6 Cl 0.1905 0.5601 0.9082
7 Cl 0.4324 0.0705 0.6660
8 Cl 0.5601 0.9082 0.1905
9 Cl 0.6660 0.4324 0.0705
10 Cl 0.9082 0.1905 0.5601


The following is a DFT calculation (PBE) of NiAgOs2 after structural relaxation.

- Energy of formation from the pure elements: 637 meV/atom
- Calculated total energy: -7.14 eV/atom

a = 2.6622 Å, b = 3.8927 Å, c = 5.6262 Å
α = 90.00°, β = 90.00°, γ = 90.00°
Positions (direct):
1 Ni 0.0000 0.0000 0.0000
2 Ag 0.0000 0.0000 0.5000
3 Os 0.5000 0.5000 0.2143
4 Os 0.5000 0.5000 0.7857


The following is a DFT calculation (PBE) of SrAlRu2Se after structural relaxation.

- Formation energy from raw total energies: 3.011 eV per formula unit
- Calculated total energy: -4.89 eV/atom

a = 4.5474 Å, b = 4.5474 Å, c = 6.0033 Å
α = 90.00°, β = 90.00°, γ = 90.00°
Positions (direct):
1 Sr 0.0000 0.0000 0.0000
2 Al 0.0000 0.0000 0.5000
3 Ru 0.0000 0.5000 0.5000
4 Ru 0.5000 0.0000 0.5000
5 Se 0.5000 0.5000 0.0000


The following is a DFT calculation (PBE) of BeCu2As after structural relaxation.

- Energy of formation from the pure elements: 296 meV/atom
- Calculated total energy: -3.85 eV/atom

a = 5.9299 Å, b = 5.9299 Å, c = 5.9299 Å
α = 90.00°, β = 90.00°, γ = 90.00°
Positions (direct):
1 Be 0.0000 0.0000 0.0000
2 Be 0.0000 0.5000 0.5000
3 Be 0.5000 0.0000 0.5000
4 Be 0.5000 0.5000 0.0000
5 Cu 0.2500 0.2500 0.2500
6 Cu 0.2500 0.2500 0.7500
7 Cu 0.2500 0.7500 0.2500
8 Cu 0.2500 0.7500 0.7500
9 Cu 0.7500 0.2500 0.2500
10 Cu 0.7500 0.2500 0.7500
11 Cu 0.7500 0.7500 0.2500
12 Cu 0.7500 0.7500 0.7500
13 As 0.0000 0.0000 0.5000
14 As 0.0000 0.5000 0.0000
15 As 0.5000 0.0000 0.0000
16 As 0.5000 0.5000 0.5000


The following is a DFT calculation (PBE) of PrP2Ir4 after structural relaxation.

- Energy of formation from the pure elements: -631 meV/atom
- Calculated total energy: -7.92 eV/atom

a = 7.6901 Å, b = 7.6901 Å, c = 3.7989 Å
α = 90.00°, β = 90.00°, γ = 90.00°
Positions (direct):
1 Pr 0.0000 0.0000 0.0000
2 Pr 0.5000 0.5000 0.5000
3 P 0.2296 0.2296 0.5000
4 P 0.2704 0.7296 0.0000
5 P 0.7296 0.2704 0.0000
6 P 0.7704 0.7704 0.5000
7 Ir 0.0755 0.6700 0.5000
8 Ir 0.1700 0.4245 0.0000
9 Ir 0.3300 0.9245 0.5000
10 Ir 0.4245 0.1700 0.0000
11 Ir 0.5755 0.8300 0.0000
12 Ir 0.6700 0.0755 0.5000
13 Ir 0.8300 0.5755 0.0000
14 Ir 0.9245 0.3300 0.5000


The following is a DFT calculation (PBE) of NiOsSe3 after structural relaxation.

- Formation energy from raw total energies: 5.275 eV per formula unit
- Calculated total energy: -4.44 eV/atom

a = 4.8745 Å, b = 4.8745 Å, c = 4.8745 Å
α = 90.00°, β = 90.00°, γ = 90.00°
Positions (direct):
1 Ni 0.0000 0.0000 0.0000
2 Os 0.5000 0.5000 0.5000
3 Se 0.0000 0.5000 0.5000
4 Se 0.5000 0.0000 0.5000
5 Se 0.5000 0.5000 0.0000


The following is a DFT calculation (PBE) of Zr2Tl2Te6Au after structural relaxation.

- Formation energy from raw total energies: -5.524 eV per formula unit
- Calculated total energy: -4.50 eV/atom

a = 7.5550 Å, b = 7.5550 Å, c = 8.2973 Å
α = 98.57°, β = 98.57°, γ = 123.71°
Positions (direct):
1 Zr 0.1875 0.8125 0.0000
2 Zr 0.8125 0.1875 0.0000
3 Tl 0.3555 0.6445 0.5000
4 Tl 0.6445 0.3555 0.5000
5 Te 0.0518 0.4084 0.7697
6 Te 0.2309 0.2309 0.1660
7 Te 0.4084 0.0518 0.7697
8 Te 0.5916 0.9482 0.2303
9 Te 0.7691 0.7691 0.8340
10 Te 0.9482 0.5916 0.2303
11 Au 0.5000 0.5000 0.0000


The following is a DFT calculation (PBE) of LiNiSe3 after structural relaxation.

- Formation energy from raw total energies: -0.182 eV per formula unit
- Calculated total energy: -3.67 eV/atom

a = 4.7669 Å, b = 4.7669 Å, c = 4.7669 Å
α = 90.00°, β = 90.00°, γ = 90.00°
Positions (direct):
1 Li 0.0000 0.0000 0.0000
2 Ni 0.5000 0.5000 0.5000
3 Se 0.0000 0.5000 0.5000
4 Se 0.5000 0.0000 0.5000
5 Se 0.5000 0.5000 0.0000


The following is a DFT calculation (PBE) of LaTa2Ag after structural relaxation.

- Energy of formation from the pure elements: 780 meV/atom
- Calculated total energy: -7.09 eV/atom

a = 6.8540 Å, b = 6.8540 Å, c = 6.8540 Å
α = 90.00°, β = 90.00°, γ = 90.00°
Positions (direct):
1 La 0.0000 0.0000 0.0000
2 La 0.0000 0.5000 0.5000
3 La 0.5000 0.0000 0.5000
4 La 0.5000 0.5000 0.0000
5 Ta 0.2500 0.2500 0.2500
6 Ta 0.2500 0.2500 0.7500
7 Ta 0.2500 0.7500 0.2500
8 Ta 0.2500 0.7500 0.7500
9 Ta 0.7500 0.2500 0.2500
10 Ta 0.7500 0.2500 0.7500
11 Ta 0.7500 0.7500 0.2500
12 Ta 0.7500 0.7500 0.7500
13 Ag 0.0000 0.0000 0.5000
14 Ag 0.0000 0.5000 0.0000
15 Ag 0.5000 0.0000 0.0000
16 Ag 0.5000 0.5000 0.5000


The following is a DFT calculation (PBE) of NaLi2Cd after structural relaxation.

- Energy of formation from the pure elements: -124 meV/atom
- Calculated total energy: -1.64 eV/atom

a = 3.5261 Å, b = 3.5261 Å, c = 14.6705 Å
α = 90.00°, β = 90.02°, γ = 90.00°
Positions (direct):
1 Na 0.2487 0.2500 0.0977
2 Na 0.7513 0.7500 0.9023
3 Li 0.2504 0.2500 0.5530
4 Li 0.2510 0.2500 0.7518
5 Li 0.7490 0.7500 0.2482
6 Li 0.7496 0.7500 0.4470
7 Cd 0.2490 0.2500 0.3464
8 Cd 0.7510 0.7500 0.6536


The following is a DFT calculation (PBE) of TaZn2As after structural relaxation.

- Energy of formation from the pure elements: 92 meV/atom
- Calculated total energy: -4.67 eV/atom

a = 2.8642 Å, b = 2.8642 Å, c = 8.7518 Å
α = 90.00°, β = 90.00°, γ = 90.00°
Positions (direct):
1 Ta 0.0000 0.0000 0.0000
2 Zn 0.0000 0.0000 0.4305
3 Zn 0.5000 0.5000 0.2261
4 As 0.5000 0.5000 0.7689